YSbW2 (meta-GGA SCAN, single point on PBEsol structure); size of the total moment = 0.000 Bohr magnetons per cell; space group = Imm2 (44); uncorrected formation energy = 339.8 meV per atom; E = -50.78 eV/atom
1.0
-1.7852 2.3553 4.6372
1.7852 -2.3553 4.6372
1.7852 2.3553 -4.6372
Y Sb W
1 1 2
direct
0.0000 0.0000 0.0000
0.2731 0.7731 0.5000
0.5268 0.5268 0.0000
0.7313 0.2313 0.5000



HfZnGe3 (meta-GGA SCAN, single point on PBEsol structure); energy of formation from the pure elements = 0.715 eV/atom; size of the total moment = 0.000 Bohr magnetons per cell; space group = Pm-3m (221); E = -25.98 eV/atom
1.0
4.6701 0.0000 0.0000
0.0000 4.6701 0.0000
0.0000 0.0000 4.6701
Hf Zn Ge
1 1 3
direct
0.0000 0.0000 0.0000
0.5000 0.5000 0.5000
0.0000 0.5000 0.5000
0.5000 0.0000 0.5000
0.5000 0.5000 0.0000



AlZnSCl2 (meta-GGA SCAN, single point on PBEsol structure); size of the total moment = 0.000 Bohr magnetons per cell; space group = P4/mmm (123); uncorrected formation energy = -298.4 meV per atom; ΔE to the lowest computed polymorph = 30.15 kJ/mol of atoms; E = -9.67 eV/atom
1.0
4.6123 0.0000 0.0000
0.0000 4.6123 0.0000
0.0000 0.0000 4.9238
Al Zn S Cl
1 1 1 2
direct
0.0000 0.0000 0.0000
0.5000 0.5000 0.5000
0.5000 0.5000 0.0000
0.0000 0.5000 0.5000
0.5000 0.0000 0.5000



YZrCu2 (meta-GGA SCAN, single point on PBEsol structure); energy of formation from the pure elements = 0.228 eV/atom; size of the total moment = 0.000 Bohr magnetons per cell; space group = R3m (160); ΔE to the lowest computed polymorph = 43.72 kJ/mol of atoms; E = -22.01 eV/atom
1.0
1.6394 0.9465 8.2727
-1.6394 0.9465 8.2727
0.0000 -1.8930 8.2727
Y Zr Cu
1 1 2
direct
0.0000 0.0000 0.0000
0.2259 0.2259 0.2259
0.4797 0.4797 0.4797
0.7542 0.7542 0.7542



Zn2IrRh (meta-GGA SCAN, single point on PBEsol structure); energy of formation from the pure elements = -0.146 eV/atom; size of the total moment = 0.000 Bohr magnetons per cell; space group = Pm (6); E = -33.12 eV/atom
1.0
2.6866 0.0000 0.0000
0.0000 4.0618 0.0000
-1.3366 0.0000 4.9124
Zn Ir Rh
2 1 1
direct
0.0000 0.0000 0.0000
0.1432 0.5000 0.2792
0.7463 0.0000 0.4874
0.3968 0.5000 0.7911



LiInCu2 (meta-GGA SCAN, single point on PBEsol structure); energy of formation from the pure elements = -0.074 eV/atom; size of the total moment = 0.000 Bohr magnetons per cell; space group = P4/mmm (123); E = -16.62 eV/atom
1.0
3.7786 0.0000 0.0000
0.0000 3.7786 0.0000
0.0000 0.0000 3.9159
Li In Cu
1 1 2
direct
0.0000 0.0000 0.0000
0.5000 0.5000 0.0000
0.0000 0.5000 0.5000
0.5000 0.0000 0.5000



SbAu2O (meta-GGA SCAN, single point on PBEsol structure); size of the total moment = 0.000 Bohr magnetons per cell; space group = I-42d (122); uncorrected formation energy = 37.7 meV per atom; E = -45.41 eV/atom
1.0
-3.5927 3.5927 2.5750
3.5927 -3.5927 2.5750
3.5927 3.5927 -2.5750
Sb Au O
2 4 2
direct
0.0000 0.0000 0.0000
0.7500 0.2500 0.5000
0.1659 0.6250 0.0409
0.3750 0.4159 0.5409
0.5841 0.1250 0.9591
0.8750 0.8341 0.4591
0.2500 0.7500 0.5000
0.5000 0.5000 0.0000



RbGaRe3 (meta-GGA SCAN, single point on PBEsol structure); energy of formation from the pure elements = 4.380 eV/atom; size of the total moment = 2.698 Bohr magnetons per cell; space group = Pm-3m (221); E = -45.70 eV/atom
1.0
4.6599 0.0000 0.0000
0.0000 4.6599 0.0000
0.0000 0.0000 4.6599
Rb Ga Re
1 1 3
direct
0.0000 0.0000 0.0000
0.5000 0.5000 0.5000
0.0000 0.0000 0.5000
0.0000 0.5000 0.0000
0.5000 0.0000 0.0000



KCaNdP2O8 (meta-GGA SCAN, single point on PBEsol structure); size of the total moment = 0.000 Bohr magnetons per cell; space group = P6_4 (172); uncorrected formation energy = -3123.7 meV per atom; E = -13.29 eV/atom
1.0
7.0004 0.0000 0.0000
-3.5002 6.0626 0.0000
0.0000 0.0000 12.7848
K Ca Nd P O
3 3 3 6 24
direct
0.0000 0.0000 0.0000
0.0000 0.0000 0.3333
0.0000 0.0000 0.6667
0.0000 0.5000 0.0689
0.5000 0.0000 0.7356
0.5000 0.5000 0.4022
0.0000 0.5000 0.5645
0.5000 0.0000 0.2312
0.5000 0.5000 0.8979
0.0000 0.5000 0.3192
0.0000 0.5000 0.8123
0.5000 0.0000 0.4789
0.5000 0.0000 0.9859
0.5000 0.5000 0.1456
0.5000 0.5000 0.6526
0.1332 0.7007 0.2470
0.1340 0.4341 0.8850
0.1374 0.6974 0.7376
0.1388 0.4412 0.3932
0.2993 0.4325 0.5803
0.3001 0.8660 0.5517
0.3024 0.8612 0.0599
0.3026 0.4400 0.0709
0.4325 0.1332 0.9136
0.4341 0.3001 0.2183
0.4400 0.1374 0.4043
0.4412 0.3024 0.7265
0.5588 0.6976 0.7265
0.5600 0.8626 0.4043
0.5659 0.6999 0.2183
0.5675 0.8668 0.9136
0.6974 0.5600 0.0709
0.6976 0.1388 0.0599
0.6999 0.1340 0.5517
0.7007 0.5675 0.5803
0.8612 0.5588 0.3932
0.8626 0.3026 0.7376
0.8660 0.5659 0.8850
0.8668 0.2993 0.2470



Ba2YTlCo2O7 (meta-GGA SCAN, single point on PBEsol structure); size of the total moment = 4.847 Bohr magnetons per cell; space group = Ima2 (46); uncorrected formation energy = -2105.3 meV per atom; E = -21.92 eV/atom
1.0
-12.6395 2.6854 2.6849
12.6395 -2.6854 2.6849
12.6395 2.6854 -2.6849
Ba Y Tl Co O
4 2 2 4 14
direct
0.0006 0.1456 0.1461
0.0006 0.3544 0.3550
0.9994 0.6456 0.6450
0.9994 0.8544 0.8539
0.9980 0.4980 0.5000
0.9980 0.9980 0.0000
0.4414 0.7207 0.2208
0.4999 0.2207 0.7792
0.4982 0.0505 0.5522
0.4982 0.4460 0.9477
0.4983 0.5505 0.0523
0.4983 0.9460 0.4478
0.0833 0.7899 0.7934
0.4975 0.3039 0.3057
0.4975 0.6918 0.6935
0.4975 0.1733 0.6587
0.4982 0.1919 0.1936
0.4975 0.3388 0.8243
0.4982 0.8045 0.8063
0.5146 0.6733 0.1757
0.5146 0.8388 0.3413
0.9965 0.2899 0.2066
0.9982 0.1918 0.6943
0.9983 0.3045 0.8064
0.9983 0.6919 0.1937
0.9982 0.8039 0.3065



CoCuCl4 (meta-GGA SCAN, single point on PBEsol structure); size of the total moment = 0.108 Bohr magnetons per cell; space group = F-43m (216); uncorrected formation energy = 982.1 meV per atom; E = -9.75 eV/atom
1.0
0.0000 3.9376 3.9376
3.9376 0.0000 3.9376
3.9376 3.9376 0.0000
Co Cu Cl
1 1 4
direct
0.0000 0.0000 0.0000
0.7500 0.7500 0.7500
0.3747 0.3747 0.3747
0.3747 0.3747 0.8759
0.3747 0.8759 0.3747
0.8759 0.3747 0.3747



Y2FeHg (meta-GGA SCAN, single point on PBEsol structure); energy of formation from the pure elements = -0.077 eV/atom; size of the total moment = 1.483 Bohr magnetons per cell; space group = P4mm (99); E = -35.57 eV/atom
1.0
3.8206 0.0000 0.0000
0.0000 3.8206 0.0000
0.0000 0.0000 6.3330
Y Fe Hg
2 1 1
direct
0.0000 0.0000 0.0000
0.5000 0.5000 0.3413
0.0000 0.0000 0.4973
0.5000 0.5000 0.7923



SrCaCl2 (meta-GGA SCAN, single point on PBEsol structure); size of the total moment = 1.446 Bohr magnetons per cell; space group = Cmmm (65); uncorrected formation energy = -1689.9 meV per atom; ΔE to the lowest computed polymorph = 16.35 kJ/mol of atoms; E = -13.66 eV/atom
1.0
1.8584 -3.7581 0.0000
1.8584 3.7581 0.0000
0.0000 0.0000 8.8988
Sr Ca Cl
1 1 2
direct
0.0000 0.0000 0.0000
0.0000 0.0000 0.5000
0.5000 0.5000 0.2684
0.5000 0.5000 0.7316



Ge3SN (meta-GGA SCAN, single point on PBEsol structure); size of the total moment = 1.381 Bohr magnetons per cell; space group = Pm-3m (221); uncorrected formation energy = 1693.9 meV per atom; E = -13.54 eV/atom
1.0
4.7908 0.0000 0.0000
0.0000 4.7908 0.0000
0.0000 0.0000 4.7908
Ge S N
3 1 1
direct
0.0000 0.0000 0.5000
0.0000 0.5000 0.0000
0.5000 0.0000 0.0000
0.0000 0.0000 0.0000
0.5000 0.5000 0.5000



CsSc3Cd (meta-GGA SCAN, single point on PBEsol structure); energy of formation from the pure elements = 1.370 eV/atom; size of the total moment = 0.000 Bohr magnetons per cell; space group = Pm-3m (221); ΔE to the lowest computed polymorph = 74.60 kJ/mol of atoms; E = -20.82 eV/atom
1.0
5.1742 0.0000 0.0000
0.0000 5.1742 0.0000
0.0000 0.0000 5.1742
Cs Sc Cd
1 3 1
direct
0.0000 0.0000 0.0000
0.0000 0.0000 0.5000
0.0000 0.5000 0.0000
0.5000 0.0000 0.0000
0.5000 0.5000 0.5000



AlSi2Tc (meta-GGA SCAN, single point on PBEsol structure); size of the total moment = 0.001 Bohr magnetons per cell; space group = R3m (160); uncorrected formation energy = 5.6 meV per atom; E = -15.71 eV/atom
1.0
1.4561 0.8407 7.7921
-1.4561 0.8407 7.7921
0.0000 -1.6813 7.7921
Al Si Tc
1 2 1
direct
0.0000 0.0000 0.0000
0.2433 0.2433 0.2433
0.4940 0.4940 0.4940
0.7521 0.7521 0.7521



Al22PbO34 (meta-GGA SCAN, single point on PBEsol structure); size of the total moment = 0.000 Bohr magnetons per cell; space group = P2_1/m (11); uncorrected formation energy = -3256.9 meV per atom; E = -11.30 eV/atom
1.0
9.7147 0.0000 0.0000
0.0000 11.2311 0.0000
-3.1539 0.0000 11.3539
Al Pb O
44 2 68
direct
0.0000 0.0000 0.0000
0.0000 0.5000 0.0000
0.0513 0.2500 0.6482
0.0566 0.7500 0.6480
0.0980 0.0002 0.7844
0.0980 0.4998 0.7844
0.1491 0.7500 0.9465
0.1507 0.6238 0.2055
0.1507 0.8762 0.2055
0.1522 0.1266 0.2167
0.1516 0.2500 0.9512
0.1522 0.3734 0.2167
0.3453 0.1247 0.7849
0.3453 0.3753 0.7849
0.3476 0.6236 0.7894
0.3476 0.8764 0.7894
0.3501 0.0008 0.0497
0.3501 0.4992 0.0497
0.4000 0.2500 0.2118
0.4019 0.7500 0.2097
0.4481 0.0010 0.3504
0.4481 0.4990 0.3504
0.4998 0.2500 0.9988
0.5002 0.7500 0.0012
0.5519 0.5010 0.6496
0.5519 0.9990 0.6496
0.5981 0.2500 0.7903
0.6000 0.7500 0.7882
0.6499 0.5008 0.9503
0.6499 0.9992 0.9503
0.6524 0.1236 0.2106
0.6524 0.3764 0.2106
0.6547 0.6247 0.2151
0.6547 0.8753 0.2151
0.8478 0.6266 0.7833
0.8484 0.7500 0.0488
0.8478 0.8734 0.7833
0.8493 0.1238 0.7945
0.8493 0.3762 0.7945
0.8509 0.2500 0.0535
0.9020 0.9998 0.2156
0.9020 0.5002 0.2156
0.9434 0.2500 0.3520
0.9487 0.7500 0.3518
0.2945 0.7500 0.4703
0.7055 0.2500 0.5297
0.0454 0.1186 0.9012
0.0454 0.3814 0.9012
0.0447 0.6171 0.8996
0.0447 0.8829 0.8996
0.0484 0.7500 0.4983
0.0927 0.5022 0.2824
0.0927 0.9978 0.2824
0.0942 0.2500 0.2936
0.1003 0.7500 0.2885
0.1553 0.1253 0.7096
0.1553 0.3747 0.7096
0.1585 0.6242 0.7126
0.1585 0.8758 0.7126
0.1895 0.5021 0.0987
0.1895 0.9979 0.0987
0.2014 0.2500 0.1114
0.2029 0.7500 0.1086
0.2971 0.0014 0.8898
0.2971 0.4986 0.8898
0.3113 0.2500 0.9005
0.3122 0.7500 0.9008
0.3411 0.6295 0.2943
0.3411 0.8705 0.2943
0.3430 0.1251 0.2867
0.3430 0.3749 0.2867
0.4070 0.9996 0.7138
0.4070 0.5004 0.7138
0.4076 0.7500 0.7157
0.4095 0.2500 0.7175
0.4517 0.6327 0.0999
0.4517 0.8673 0.0999
0.4544 0.1333 0.0984
0.4544 0.3667 0.0984
0.5000 0.0000 0.5000
0.5000 0.5000 0.5000
0.5456 0.6333 0.9016
0.5456 0.8667 0.9016
0.5483 0.1327 0.9001
0.5483 0.3673 0.9001
0.5905 0.7500 0.2825
0.5924 0.2500 0.2843
0.5930 0.0004 0.2862
0.5930 0.4996 0.2862
0.6570 0.6251 0.7133
0.6570 0.8749 0.7133
0.6589 0.1295 0.7057
0.6589 0.3705 0.7057
0.6878 0.2500 0.0992
0.6887 0.7500 0.0995
0.7029 0.5014 0.1102
0.7029 0.9986 0.1102
0.7971 0.2500 0.8914
0.7986 0.7500 0.8886
0.8105 0.0021 0.9013
0.8105 0.4979 0.9013
0.8415 0.1242 0.2874
0.8415 0.3758 0.2874
0.8447 0.6253 0.2904
0.8447 0.8747 0.2904
0.8997 0.2500 0.7115
0.9058 0.7500 0.7064
0.9073 0.0022 0.7176
0.9073 0.4978 0.7176
0.9516 0.2500 0.5017
0.9553 0.1171 0.1004
0.9553 0.3829 0.1004
0.9546 0.6186 0.0988
0.9546 0.8814 0.0988



MnAlBr2 (meta-GGA SCAN, single point on PBEsol structure); size of the total moment = 4.058 Bohr magnetons per cell; space group = P4mm (99); uncorrected formation energy = -348.7 meV per atom; ΔE to the lowest computed polymorph = 23.08 kJ/mol of atoms; E = -16.58 eV/atom
1.0
3.2428 0.0000 0.0000
0.0000 3.2428 0.0000
0.0000 0.0000 7.9242
Mn Al Br
1 1 2
direct
0.0000 0.0000 0.0000
0.5000 0.5000 0.1989
0.0000 0.0000 0.4093
0.5000 0.5000 0.8088



TaBiS3 (meta-GGA SCAN, single point on PBEsol structure); size of the total moment = 0.000 Bohr magnetons per cell; space group = Pm-3m (221); uncorrected formation energy = -287.2 meV per atom; E = -35.10 eV/atom
1.0
4.7515 0.0000 0.0000
0.0000 4.7515 0.0000
0.0000 0.0000 4.7515
Ta Bi S
1 1 3
direct
0.0000 0.0000 0.0000
0.5000 0.5000 0.5000
0.0000 0.0000 0.5000
0.0000 0.5000 0.0000
0.5000 0.0000 0.0000